No. 1
# Li6AlGa12 GGA-PBE relaxed
# - total magnetic moment (μB per atom) = 0.00
# - energy (eV for the cell shown) = -164.31
# - calculated formation energy (kJ/mol of atoms) = -16
data_Li6AlGa12
_space_group_name_H-M_alt 'R -3'
_space_group_IT_number 148
_space_group_name_Hall '-R 3'
_cell_length_a 9.9208
_cell_length_b 9.9208
_cell_length_c 11.4976
_cell_angle_alpha 90.00
_cell_angle_beta 90.00
_cell_angle_gamma 120.00
loop_
_atom_site_label
_atom_site_fract_x
_atom_site_fract_y
_atom_site_fract_z
Li1 0.0242 0.4304 0.2087
Al1 0.0000 0.0000 0.5000
Ga1 0.0407 0.1863 0.3144
Ga2 0.0529 0.8581 0.9070

***

No. 2
# Pr2NdZn4 GGA-PBE relaxed
# - total magnetic moment (μB per atom) = 0.00
# - energy (eV for the cell shown) = -40.81
# - calculated formation energy (kJ/mol of atoms) = -14
data_Pr2NdZn4
_space_group_name_H-M_alt 'I 4/m m m'
_space_group_IT_number 139
_space_group_name_Hall '-I 4 2'
_cell_length_a 5.330
_cell_length_b 5.330
_cell_length_c 12.912
_cell_angle_alpha 90.00
_cell_angle_beta 90.00
_cell_angle_gamma 90.00
loop_
_atom_site_label
_atom_site_fract_x
_atom_site_fract_y
_atom_site_fract_z
Pr1 0.000 0.000 0.218
Nd1 0.000 0.000 0.500
Zn1 0.000 0.500 0.106

***

No. 3
# Ti2NbInC GGA-PBE relaxed
# - total magnetic moment (μB per atom) = 0.00
# - energy (eV for the cell shown) = -39.91
# - calculated formation energy (kJ/mol of atoms) = -40
data_Ti2NbInC
_space_group_name_H-M_alt 'P 4/m m m'
_space_group_IT_number 123
_space_group_name_Hall '-P 4 2'
_cell_length_a 4.225
_cell_length_b 4.225
_cell_length_c 4.415
_cell_angle_alpha 90.00
_cell_angle_beta 90.00
_cell_angle_gamma 90.00
loop_
_atom_site_label
_atom_site_fract_x
_atom_site_fract_y
_atom_site_fract_z
Ti1 0.000 0.500 0.000
Nb1 0.000 0.000 0.500
In1 0.500 0.500 0.500
C1 0.000 0.000 0.000

***

No. 4
# Pm5Sm2Th3 GGA-PBE relaxed
# - total magnetic moment (μB per atom) = 0.00
# - energy (eV for the cell shown) = -109.84
# - calculated formation energy (kJ/mol of atoms) = 5
data_Pm5Sm2Th3
_space_group_name_H-M_alt 'C 1 2/m 1'
_space_group_IT_number 12
_cell_length_a 11.484
_cell_length_b 5.101
_cell_length_c 11.470
_cell_angle_alpha 90.00
_cell_angle_beta 90.05
_cell_angle_gamma 90.00
loop_
_space_group_symop_operation_xyz
'x,y,z'
'-x,-y,-z'
'-x,y,-z'
'x,-y,z'
'x+1/2,y+1/2,z'
'-x+1/2,-y+1/2,-z'
'-x+1/2,y+1/2,-z'
'x+1/2,-y+1/2,z'
loop_
_atom_site_label
_atom_site_fract_x
_atom_site_fract_y
_atom_site_fract_z
Pm1 0.000 0.000 0.000
Pm2 0.198 0.500 0.896
Pm3 0.199 0.000 0.402
Sm1 0.098 0.500 0.205
Th1 0.000 0.500 0.500
Th2 0.098 0.000 0.697

***

No. 5
# Fe5Re GGA-PBE relaxed
# - total magnetic moment (μB per atom) = 0.78
# - energy (eV for the cell shown) = -108.35
# - calculated formation energy (kJ/mol of atoms) = 9
# - energy relative to the lowest polymorph listed for this composition (eV/atom) = 0.078
data_Fe5Re
_space_group_name_H-M_alt 'C m m m'
_space_group_IT_number 65
_space_group_name_Hall '-C 2 2'
_cell_length_a 3.570
_cell_length_b 10.869
_cell_length_c 3.571
_cell_angle_alpha 90.00
_cell_angle_beta 90.00
_cell_angle_gamma 90.00
loop_
_atom_site_label
_atom_site_fract_x
_atom_site_fract_y
_atom_site_fract_z
Fe1 0.000 0.000 0.000
Fe2 0.000 0.168 0.500
Fe3 0.000 0.332 0.000
Re1 0.000 0.500 0.500

***

No. 6
# TaTi3Re GGA-PBE relaxed
# - total magnetic moment (μB per atom) = 0.00
# - energy (eV for the cell shown) = -193.55
# - calculated formation energy (kJ/mol of atoms) = -8
# - energy relative to the lowest polymorph listed for this composition (eV/atom) = 0.000
data_TaTi3Re
_space_group_name_H-M_alt 'P 1 21/c 1'
_space_group_IT_number 14
_cell_length_a 7.042
_cell_length_b 5.518
_cell_length_c 9.079
_cell_angle_alpha 90.00
_cell_angle_beta 107.93
_cell_angle_gamma 90.00
loop_
_space_group_symop_operation_xyz
'x,y,z'
'-x,-y,-z'
'-x,y+1/2,-z+1/2'
'x,-y+1/2,z+1/2'
loop_
_atom_site_label
_atom_site_fract_x
_atom_site_fract_y
_atom_site_fract_z
Ta1 0.008 0.247 0.005
Ti1 0.195 0.515 0.290
Ti2 0.227 0.004 0.316
Ti3 0.406 0.672 0.594
Re1 0.399 0.160 0.599

***

No. 7
# PW GGA-PBE relaxed
# - total magnetic moment (μB per atom) = 0.00
# - energy (eV for the cell shown) = -104.80
# - calculated formation energy (kJ/mol of atoms) = 43
data_PW
_space_group_name_H-M_alt 'R -3 m'
_space_group_IT_number 166
_space_group_name_Hall '-R 3 2"'
_cell_length_a 4.2599
_cell_length_b 4.2599
_cell_length_c 12.6586
_cell_angle_alpha 90.00
_cell_angle_beta 90.00
_cell_angle_gamma 120.00
loop_
_atom_site_label
_atom_site_fract_x
_atom_site_fract_y
_atom_site_fract_z
P1 0.0000 0.0000 0.1059
W1 0.0000 0.0000 0.3022

***

No. 8
# Al2CrTe GGA-PBE relaxed
# - total magnetic moment (μB per atom) = 0.87
# - energy (eV for the cell shown) = -75.00
# - formation energy from raw total energies (meV/atom) = 375
data_Al2CrTe
_space_group_name_H-M_alt 'F -4 3 m'
_space_group_IT_number 216
_space_group_name_Hall 'F -4 2 3'
_cell_length_a 6.795
_cell_length_b 6.795
_cell_length_c 6.795
_cell_angle_alpha 90.00
_cell_angle_beta 90.00
_cell_angle_gamma 90.00
loop_
_atom_site_label
_atom_site_fract_x
_atom_site_fract_y
_atom_site_fract_z
Al1 0.000 0.000 0.000
Al2 0.250 0.250 0.250
Cr1 0.250 0.250 0.750
Te1 0.000 0.000 0.500